Material: HfTcSnWF
Method: DFT, PBE with a Hubbard U
State: relaxed

Properties
- VASP energy (eV for the cell shown) = -34.795
- ρ (g/cm³) = 10.4
- total moment (Bohr magnetons per cell) = 0.00

Cell lengths 3.267, 5.430, 5.627 Å; angles 84.92, 85.48, 75.07 degrees
Positions (direct):
F (0.921, 0.722, 0.814)
Hf (0.820, 0.978, 0.512)
Sn (0.297, 0.166, 0.065)
W (0.124, 0.422, 0.567)
Tc (0.594, 0.573, 0.270)